# 1
ErPaNiIr | Alexandria via LeMat-Bulk | PBE | relaxed; spin magnetization = 0.00 μB per formula unit; total energy = -7.703 eV per atom; formation energy = -0.527 eV/atom
1.0
0.000 3.408 3.408
3.408 0.000 3.408
3.408 3.408 0.000
Er Pa Ni Ir
1 1 1 1
Cartesian
0.000 0.000 0.000
3.408 3.408 3.408
5.112 5.112 5.112
1.704 1.704 1.704

---

# 2
PmErNiIr | Alexandria via LeMat-Bulk | PBE | relaxed; spin magnetization = 0.00 μB per formula unit; total energy = -6.602 eV per atom; formation energy = -0.613 eV/atom
1.0
4.093 0.000 0.000
0.000 1.949 5.367
0.000 -1.949 5.367
Pm Er Ni Ir
1 1 1 1
Cartesian
0.000 0.000 0.000
2.046 0.000 7.686
2.046 0.000 4.591
0.000 0.000 2.977

---

# 3
PmErNiIr | Alexandria via LeMat-Bulk | PBE | relaxed; spin magnetization = 0.00 μB per formula unit; total energy = -6.559 eV per atom; formation energy = -0.570 eV/atom
1.0
0.000 3.442 3.442
3.442 0.000 3.442
3.442 3.442 0.000
Pm Er Ni Ir
1 1 1 1
Cartesian
0.000 0.000 0.000
3.442 3.442 3.442
5.163 5.163 5.163
1.721 1.721 1.721

---

# 4
ErScNiIr | Alexandria via LeMat-Bulk | PBE | relaxed; spin magnetization = 0.00 μB per formula unit; total energy = -7.109 eV per atom; formation energy = -0.725 eV/atom
1.0
0.000 3.296 3.296
3.296 0.000 3.296
3.296 3.296 0.000
Er Sc Ni Ir
1 1 1 1
Cartesian
0.000 0.000 0.000
3.296 3.296 3.296
4.944 4.944 4.944
1.648 1.648 1.648

---

# 5
ErSi2Ni2Ir | Alexandria via LeMat-Bulk | PBE | relaxed; spin magnetization = 0.00 μB per formula unit; total energy = -6.087 eV per atom; uncorrected formation energy = -0.7 eV per formula unit
1.0
4.515 0.000 0.000
0.000 4.515 0.000
0.000 0.000 5.298
Er Si Ni Ir
1 2 2 1
Cartesian
0.000 0.000 0.000
0.000 2.258 2.649
2.258 0.000 2.649
2.258 2.258 1.342
2.258 2.258 3.956
0.000 0.000 2.649

---

# 6
Er2Si4Ni3Ir | Alexandria via LeMat-Bulk | PBE | relaxed; spin magnetization = 0.00 μB per formula unit; total energy = -6.610 eV per atom; uncorrected formation energy = -9.1 eV per formula unit
1.0
3.938 0.000 0.000
0.000 3.938 0.000
0.000 0.000 9.717
Er Si Ni Ir
2 4 3 1
Cartesian
0.000 1.969 2.344
1.969 0.000 7.372
0.000 0.000 0.000
0.000 1.969 6.224
1.969 0.000 3.493
1.969 1.969 0.000
0.000 1.969 8.507
1.969 0.000 1.210
1.969 1.969 4.858
0.000 0.000 4.858

---

# 7
Er2Si3Ni4Ir | Alexandria via LeMat-Bulk | PBE | relaxed; spin magnetization = 0.00 μB per formula unit; total energy = -6.454 eV per atom; uncorrected formation energy = -7.2 eV per formula unit
1.0
3.876 0.000 0.000
0.000 3.876 0.000
0.000 0.000 10.019
Er Si Ni Ir
2 3 4 1
Cartesian
0.000 1.938 2.475
1.938 0.000 7.544
0.000 1.938 8.769
1.938 0.000 1.250
1.938 1.938 5.009
0.000 0.000 0.000
0.000 1.938 6.505
1.938 0.000 3.513
1.938 1.938 0.000
0.000 0.000 5.009

---

# 8
Er2Si4NiIr3 | Alexandria via LeMat-Bulk | PBE | relaxed; spin magnetization = 0.00 μB per formula unit; total energy = -7.282 eV per atom; uncorrected formation energy = -9.6 eV per formula unit
1.0
4.049 0.000 0.000
0.000 4.049 0.000
0.000 0.000 9.992
Er Si Ni Ir
2 4 1 3
Cartesian
0.000 2.025 2.483
2.025 0.000 7.509
0.000 0.000 0.000
0.000 2.025 6.297
2.025 0.000 3.695
2.025 2.025 0.000
0.000 0.000 4.996
0.000 2.025 8.675
2.025 0.000 1.317
2.025 2.025 4.996